1.
A plane-wave DFT calculation with GGA-PBE was carried out for PmBe3Cu10 after structural relaxation.

Cell and atoms, written as POSCAR:
```
PmBe3Cu10
1.0
-1.522 -4.907 6.145
-3.799 -6.938 -1.261
3.973 -6.922 0.677
Pm Be Cu
2 6 20
Direct
0.250 0.250 0.250
0.750 0.750 0.750
0.737 0.737 0.263
0.737 0.263 0.737
0.263 0.737 0.737
0.263 0.263 0.737
0.737 0.263 0.263
0.263 0.737 0.263
0.000 0.000 0.344
0.000 0.344 0.000
0.344 0.000 0.000
0.656 0.344 0.000
0.390 0.390 0.390
0.171 0.610 0.610
0.390 0.829 0.390
0.656 0.000 0.344
0.390 0.390 0.829
0.829 0.390 0.390
0.610 0.610 0.171
0.000 0.000 0.656
0.344 0.656 0.000
0.000 0.656 0.344
0.000 0.344 0.656
0.656 0.000 0.000
0.610 0.610 0.610
0.000 0.656 0.000
0.610 0.171 0.610
0.344 0.000 0.656
```

## Properties
Magnetic moment: 0.000 μB per formula unit
Formation energy: 0.037 eV/atom
SG: Fm-3m (225)


2.
A plane-wave DFT calculation with GGA-PBE was carried out for Tb3Mg2Sc after structural relaxation.

Cell and atoms, written as POSCAR:
```
Tb3Mg2Sc
1.0
3.681 0.000 0.000
0.000 3.681 0.000
0.000 0.000 12.310
Tb Mg Sc
3 2 1
Direct
0.000 0.000 0.000
0.000 0.000 0.672
0.000 0.000 0.328
0.500 0.500 0.837
0.500 0.500 0.163
0.500 0.500 0.500
```

## Properties
Magnetic moment: 0.157 μB per formula unit
Formation energy: -0.028 eV/atom
SG: P4/mmm (123)


3.
A plane-wave DFT calculation with GGA-PBE was carried out for TaAs2Ir after structural relaxation.

Cell and atoms, written as POSCAR:
```
TaAs2Ir
1.0
3.084 0.000 0.000
0.000 5.150 0.000
0.000 0.000 4.249
As Ir Ta
2 1 1
Direct
0.000 0.000 0.000
0.500 0.500 0.000
0.500 0.000 0.500
0.000 0.500 0.500
```

## Properties
Magnetic moment: 0.000 μB per formula unit
Formation energy: 0.179 eV/atom
Energy above the lowest structure with this stoichiometry: 393 meV per atom
SG: Pmmm (47)


4.
A plane-wave DFT calculation with GGA-PBE was carried out for Er2PuPt after structural relaxation.

Cell and atoms, written as POSCAR:
```
Er2PuPt
1.0
-0.378 2.878 1.937
-2.064 1.380 -2.452
-6.644 -3.362 3.700
Er Pt Pu
2 1 1
Direct
0.000 0.000 0.801
0.000 0.000 0.199
0.500 0.500 0.000
0.500 0.500 0.500
```

## Properties
Magnetic moment: 6.831 μB per formula unit
Formation energy: -0.550 eV/atom
Energy above the lowest structure with this stoichiometry: 0 meV per atom
SG: P4/mmm (123)